# PrNdZn2In2, optimized geometry, DFT PBE
# - DFT total energy: -3.378 eV per atom
data_PrNdZn2In2
_symmetry_space_group_name_H-M 'P -3 m 1'
_symmetry_Int_Tables_number 164
_symmetry_space_group_name_Hall '-P 3 2"'
_cell_length_a 4.7530
_cell_length_b 4.7530
_cell_length_c 7.6472
_cell_angle_alpha 90.00
_cell_angle_beta 90.00
_cell_angle_gamma 120.00
loop_
_atom_site_label
_atom_site_type_symbol
_atom_site_fract_x
_atom_site_fract_y
_atom_site_fract_z
_atom_site_occupancy
Pr1 Pr 0.0000 0.0000 0.0000 1
Nd1 Nd 0.0000 0.0000 0.5000 1
Zn1 Zn 0.3333 0.6667 0.2617 1
In1 In 0.3333 0.6667 0.7454 1


# Nd12In3Pt5, optimized geometry, DFT PBE
# - DFT total energy: -5.203 eV per atom
data_Nd12In3Pt5
_symmetry_space_group_name_H-M 'I a -3 d'
_symmetry_Int_Tables_number 230
_symmetry_space_group_name_Hall '-I 4bd 2c 3'
_cell_length_a 17.713
_cell_length_b 17.713
_cell_length_c 17.713
_cell_angle_alpha 90.00
_cell_angle_beta 90.00
_cell_angle_gamma 90.00
loop_
_atom_site_label
_atom_site_type_symbol
_atom_site_fract_x
_atom_site_fract_y
_atom_site_fract_z
_atom_site_occupancy
Nd1 Nd 0.023 0.063 0.649 1
In1 In 0.000 0.250 0.125 1
Pt1 Pt 0.000 0.000 0.000 1
Pt2 Pt 0.000 0.250 0.375 1


# NdIn6Pt4, optimized geometry, DFT PBE
# - DFT total energy: -4.722 eV per atom
data_NdIn6Pt4
_symmetry_space_group_name_H-M 'I -4 2 m'
_symmetry_Int_Tables_number 121
_symmetry_space_group_name_Hall 'I -4 2'
_cell_length_a 7.068
_cell_length_b 7.068
_cell_length_c 10.038
_cell_angle_alpha 90.00
_cell_angle_beta 90.00
_cell_angle_gamma 90.00
loop_
_atom_site_label
_atom_site_type_symbol
_atom_site_fract_x
_atom_site_fract_y
_atom_site_fract_z
_atom_site_occupancy
Nd1 Nd 0.000 0.000 0.000 1
In1 In 0.000 0.500 0.000 1
In2 In 0.169 0.169 0.294 1
Pt1 Pt 0.183 0.183 0.573 1


# NdIn4Pt2, optimized geometry, DFT PBE
# - Energy above the most stable polymorph in this dataset: 0 meV/atom
# - DFT total energy: -4.620 eV per atom
data_NdIn4Pt2
_symmetry_space_group_name_H-M 'P n m a'
_symmetry_Int_Tables_number 62
_cell_length_a 18.714
_cell_length_b 4.554
_cell_length_c 7.294
_cell_angle_alpha 90.00
_cell_angle_beta 90.00
_cell_angle_gamma 90.00
loop_
_symmetry_equiv_pos_as_xyz
'x,y,z'
'-x,-y,-z'
'-x+1/2,-y,z+1/2'
'x+1/2,y,-z+1/2'
'x+1/2,-y+1/2,-z+1/2'
'-x+1/2,y+1/2,z+1/2'
'-x,y+1/2,-z'
'x,-y+1/2,z'
loop_
_atom_site_label
_atom_site_type_symbol
_atom_site_fract_x
_atom_site_fract_y
_atom_site_fract_z
_atom_site_occupancy
Nd1 Nd 0.142 0.250 0.031 1
In1 In 0.035 0.750 0.855 1
In2 In 0.070 0.250 0.499 1
In3 In 0.186 0.750 0.330 1
In4 In 0.190 0.750 0.743 1
Pt1 Pt 0.041 0.750 0.249 1
Pt2 Pt 0.218 0.250 0.539 1


# Nd6InPt, optimized geometry, DFT PBE
# - DFT total energy: -4.992 eV per atom
data_Nd6InPt
_symmetry_space_group_name_H-M 'C 1 2/m 1'
_symmetry_Int_Tables_number 12
_cell_length_a 7.706
_cell_length_b 9.863
_cell_length_c 6.903
_cell_angle_alpha 90.00
_cell_angle_beta 109.14
_cell_angle_gamma 90.00
loop_
_symmetry_equiv_pos_as_xyz
'x,y,z'
'-x,-y,-z'
'-x,y,-z'
'x,-y,z'
'x+1/2,y+1/2,z'
'-x+1/2,-y+1/2,-z'
'-x+1/2,y+1/2,-z'
'x+1/2,-y+1/2,z'
loop_
_atom_site_label
_atom_site_type_symbol
_atom_site_fract_x
_atom_site_fract_y
_atom_site_fract_z
_atom_site_occupancy
Nd1 Nd 0.095 0.216 0.273 1
Nd2 Nd 0.222 0.500 0.048 1
In1 In 0.000 0.500 0.500 1
Pt1 Pt 0.000 0.000 0.500 1


# Nd2In8Pt, optimized geometry, DFT PBE
# - DFT total energy: -3.879 eV per atom
data_Nd2In8Pt
_symmetry_space_group_name_H-M 'P 4/m m m'
_symmetry_Int_Tables_number 123
_symmetry_space_group_name_Hall '-P 4 2'
_cell_length_a 4.731
_cell_length_b 4.731
_cell_length_c 12.301
_cell_angle_alpha 90.00
_cell_angle_beta 90.00
_cell_angle_gamma 90.00
loop_
_atom_site_label
_atom_site_type_symbol
_atom_site_fract_x
_atom_site_fract_y
_atom_site_fract_z
_atom_site_occupancy
Nd1 Nd 0.000 0.000 0.192 1
In1 In 0.000 0.500 0.000 1
In2 In 0.000 0.500 0.376 1
In3 In 0.500 0.500 0.191 1
Pt1 Pt 0.000 0.000 0.500 1


# Nd5In2Pt, optimized geometry, DFT PBE
# - Energy above the most stable polymorph in this dataset: 143 meV/atom
# - DFT total energy: -4.817 eV per atom
data_Nd5In2Pt
_symmetry_space_group_name_H-M 'I 4 m m'
_symmetry_Int_Tables_number 107
_symmetry_space_group_name_Hall 'I 4 -2'
_cell_length_a 7.197
_cell_length_b 7.197
_cell_length_c 9.048
_cell_angle_alpha 90.00
_cell_angle_beta 90.00
_cell_angle_gamma 90.00
loop_
_atom_site_label
_atom_site_type_symbol
_atom_site_fract_x
_atom_site_fract_y
_atom_site_fract_z
_atom_site_occupancy
Nd1 Nd 0.000 0.000 0.000 1
Nd2 Nd 0.250 0.250 0.259 1
In1 In 0.000 0.500 0.010 1
Pt1 Pt 0.000 0.000 0.594 1


# Nd4In5Pt2, optimized geometry, DFT PBE
# - DFT total energy: -4.773 eV per atom
data_Nd4In5Pt2
_symmetry_space_group_name_H-M 'P 1 2/m 1'
_symmetry_Int_Tables_number 10
_cell_length_a 7.847
_cell_length_b 3.779
_cell_length_c 9.921
_cell_angle_alpha 90.00
_cell_angle_beta 94.27
_cell_angle_gamma 90.00
loop_
_symmetry_equiv_pos_as_xyz
'x,y,z'
'-x,-y,-z'
'-x,y,-z'
'x,-y,z'
loop_
_atom_site_label
_atom_site_type_symbol
_atom_site_fract_x
_atom_site_fract_y
_atom_site_fract_z
_atom_site_occupancy
Nd1 Nd 0.174 0.000 0.358 1
Nd2 Nd 0.228 0.000 0.942 1
In1 In 0.181 0.500 0.653 1
In2 In 0.452 0.500 0.184 1
In3 In 0.500 0.500 0.500 1
Pt1 Pt 0.072 0.500 0.139 1


# NdInPt2, optimized geometry, DFT PBE
# - DFT total energy: -5.648 eV per atom
data_NdInPt2
_symmetry_space_group_name_H-M 'P 4/m m m'
_symmetry_Int_Tables_number 123
_symmetry_space_group_name_Hall '-P 4 2'
_cell_length_a 3.539
_cell_length_b 3.539
_cell_length_c 6.690
_cell_angle_alpha 90.00
_cell_angle_beta 90.00
_cell_angle_gamma 90.00
loop_
_atom_site_label
_atom_site_type_symbol
_atom_site_fract_x
_atom_site_fract_y
_atom_site_fract_z
_atom_site_occupancy
Nd1 Nd 0.000 0.000 0.000 1
In1 In 0.000 0.000 0.500 1
Pt1 Pt 0.500 0.500 0.279 1


# Nd12InPt7, optimized geometry, DFT PBE
# - DFT total energy: -6.007 eV per atom
data_Nd12InPt7
_symmetry_space_group_name_H-M 'I 4/m c m'
_symmetry_Int_Tables_number 140
_symmetry_space_group_name_Hall '-I 4 2c'
_cell_length_a 12.097
_cell_length_b 12.097
_cell_length_c 14.662
_cell_angle_alpha 90.00
_cell_angle_beta 90.00
_cell_angle_gamma 90.00
loop_
_atom_site_label
_atom_site_type_symbol
_atom_site_fract_x
_atom_site_fract_y
_atom_site_fract_z
_atom_site_occupancy
Nd1 Nd 0.000 0.500 0.135 1
Nd2 Nd 0.073 0.207 0.143 1
Nd3 Nd 0.176 0.324 0.500 1
In1 In 0.000 0.000 0.000 1
Pt1 Pt 0.000 0.000 0.250 1
Pt2 Pt 0.126 0.374 0.000 1
Pt3 Pt 0.174 0.326 0.305 1


# Nd5InPt2, optimized geometry, DFT PBE
# - DFT total energy: -5.559 eV per atom
data_Nd5InPt2
_symmetry_space_group_name_H-M 'I 4/m c m'
_symmetry_Int_Tables_number 140
_symmetry_space_group_name_Hall '-I 4 2c'
_cell_length_a 8.107
_cell_length_b 8.107
_cell_length_c 13.885
_cell_angle_alpha 90.00
_cell_angle_beta 90.00
_cell_angle_gamma 90.00
loop_
_atom_site_label
_atom_site_type_symbol
_atom_site_fract_x
_atom_site_fract_y
_atom_site_fract_z
_atom_site_occupancy
Nd1 Nd 0.000 0.000 0.000 1
Nd2 Nd 0.160 0.340 0.138 1
In1 In 0.000 0.000 0.250 1
Pt1 Pt 0.134 0.366 0.500 1


# Nd5In2Pt, optimized geometry, DFT PBE
# - Energy above the most stable polymorph in this dataset: 0 meV/atom
# - DFT total energy: -4.960 eV per atom
data_Nd5In2Pt
_symmetry_space_group_name_H-M 'P b a m'
_symmetry_Int_Tables_number 55
_cell_length_a 7.718
_cell_length_b 12.797
_cell_length_c 4.933
_cell_angle_alpha 90.00
_cell_angle_beta 90.00
_cell_angle_gamma 90.00
loop_
_symmetry_equiv_pos_as_xyz
'x,y,z'
'-x,-y,-z'
'-x,-y,z'
'x,y,-z'
'x+1/2,-y+1/2,-z'
'-x+1/2,y+1/2,z'
'-x+1/2,y+1/2,-z'
'x+1/2,-y+1/2,z'
loop_
_atom_site_label
_atom_site_type_symbol
_atom_site_fract_x
_atom_site_fract_y
_atom_site_fract_z
_atom_site_occupancy
Nd1 Nd 0.000 0.000 0.000 1
Nd2 Nd 0.134 0.290 0.000 1
Nd3 Nd 0.181 0.576 0.500 1
In1 In 0.086 0.835 0.500 1
Pt1 Pt 0.000 0.500 0.000 1